Entry 1:
NiAs2Ir | PBE-GGA | relaxed

Cell: 5.4213 5.4213 10.8273 Å, 90.00 90.00 90.00°
Space group I-42d (No. 122)
One atom of each set of equivalent atoms:
Ni: 0.0000 0.0000 0.0000
As: 0.2370 0.2500 0.1250
Ir: 0.0000 0.0000 0.5000

Output
- N(E_F) (states/eV/f.u.) = 2.9
- mass density (Mg/m³) = 8.36
- total DFT energy (no corrections) (eV for the cell shown) = -95.7
- DFT formation energy (eV/atom) = 0.0049
- volume (Å³/cell) = 318.22

***

Entry 2:
SrCr2Si | PBE-GGA | relaxed

Cell: 3.1422 4.3745 5.8904 Å, 90.00 97.29 90.00°
Space group P2/m (No. 10)
One atom of each set of equivalent atoms:
Sr: 0.0000 0.0000 0.0000
Cr: 0.2988 0.5000 0.6271
Si: 0.5000 0.0000 0.5000

Output
- N(E_F) (states/eV/f.u.) = 4.0
- mass density (Mg/m³) = 4.54
- total DFT energy (no corrections) (eV for the cell shown) = -24.5
- volume (Å³/cell) = 80.31

***

Entry 3:
Ce2Si2Rh5 | PBE-GGA | relaxed

Cell: 4.1373 4.1373 8.9186 Å, 90.00 90.00 90.00°
Space group P4/mmm (No. 123)
One atom of each set of equivalent atoms:
Ce: 0.0000 0.0000 0.0000
Ce: 0.0000 0.0000 0.5000
Si: 0.5000 0.5000 0.1401
Rh: 0.0000 0.5000 0.2651
Rh: 0.5000 0.5000 0.5000

Output
- N(E_F) (states/eV/f.u.) = 5.1
- mass density (Mg/m³) = 9.26
- total DFT energy (no corrections) (eV for the cell shown) = -67.9
- volume (Å³/cell) = 152.66